Density functional theory data (PBE+U) for crystalline K3TlFe2F9 at its relaxed geometry.

Results
total DFT energy (no corrections)	-71.26	eV for the cell shown
density of states at the Fermi level	0.36	states/eV per atom
SG	P-3m1

Cell and atoms, written as extended XYZ:
```
15
Lattice="-2.653 -4.814 -2.345 5.258 -0.546 2.788 -4.061 -1.363 7.392" Properties=species:S:1:pos:R:3 pbc="T T T"
F 0.285 -1.380 2.512
F -1.327 -2.407 -1.172
F 1.540 -3.963 2.726
F 1.302 -2.680 0.221
F 2.818 -1.644 3.856
F 2.629 -0.273 1.394
F -1.740 -5.343 5.323
F -2.995 -2.760 5.109
F -4.274 -5.080 3.979
Fe -3.493 -4.558 5.695
Fe 2.037 -2.165 2.140
K -1.096 -3.754 1.331
K -0.360 -2.969 6.504
K 0.000 0.000 0.000
Tl -2.030 -0.681 3.696
```